Material: Nd3Ho5Er2
Method: DFT, GGA-PBE
State: relaxed

Output
* ρ: 7.71 Mg/m³
* calculated volume: 34.3 Å³ per atom
* energy of formation from the pure elements: 0.34 eV/atom

```
data_Nd3Ho5Er2
_chemical_formula_sum 'Nd12 Ho20 Er8'
_cell_length_a 12.910
_cell_length_b 16.809
_cell_length_c 6.317
_cell_angle_alpha 90.00
_cell_angle_beta 90.00
_cell_angle_gamma 90.00
_symmetry_space_group_name_H-M 'I b a m'
_symmetry_Int_Tables_number 72
_symmetry_space_group_name_Hall '-I 2 2c'
loop_
_atom_site_label
_atom_site_type_symbol
_atom_site_fract_x
_atom_site_fract_y
_atom_site_fract_z
Nd1 Nd 0.000 0.000 0.250
Nd2 Nd 0.157 0.245 0.000
Ho1 Ho 0.000 0.500 0.250
Ho2 Ho 0.098 0.344 0.500
Ho3 Ho 0.247 0.500 0.250
Er1 Er 0.103 0.156 0.500
```

Material: CsRb2CoCl6
Method: DFT, GGA-PBE
State: relaxed

Output
* energy relative to the elements, uncorrected: -1386 meV/atom
* ρ: 2.78 Mg/m³
* calculated volume: 34.3 Å³ per atom

```
data_CsRb2CoCl6
_chemical_formula_sum 'Cs2 Rb4 Co2 Cl12'
_cell_length_a 7.136
_cell_length_b 10.861
_cell_length_c 8.859
_cell_angle_alpha 90.00
_cell_angle_beta 90.00
_cell_angle_gamma 90.00
_symmetry_space_group_name_H-M 'P m m n'
_symmetry_Int_Tables_number 59
loop_
_symmetry_equiv_pos_as_xyz
'x,y,z'
'-x,-y,-z'
'-x+1/2,-y+1/2,z'
'x+1/2,y+1/2,-z'
'x+1/2,-y,-z'
'-x+1/2,y,z'
'-x,y+1/2,-z'
'x,-y+1/2,z'
loop_
_atom_site_label
_atom_site_type_symbol
_atom_site_fract_x
_atom_site_fract_y
_atom_site_fract_z
Cs1 Cs 0.250 0.250 0.173
Rb1 Rb 0.250 0.041 0.669
Co1 Co 0.250 0.750 0.317
Cl1 Cl 0.023 0.750 0.137
Cl2 Cl 0.028 0.750 0.504
Cl3 Cl 0.250 0.540 0.313
```

Material: Ce2MnRe3
Method: DFT, GGA-PBE
State: relaxed

Output
* ρ: 13.18 Mg/m³
* calculated volume: 18.8 Å³ per atom
* energy of formation from the pure elements: -0.06 eV/atom

```
data_Ce2MnRe3
_chemical_formula_sum 'Ce6 Mn3 Re9'
_cell_length_a 5.3013
_cell_length_b 5.3013
_cell_length_c 13.8792
_cell_angle_alpha 90.00
_cell_angle_beta 90.00
_cell_angle_gamma 120.00
_symmetry_space_group_name_H-M 'R -3 m'
_symmetry_Int_Tables_number 166
_symmetry_space_group_name_Hall '-R 3 2"'
loop_
_atom_site_label
_atom_site_type_symbol
_atom_site_fract_x
_atom_site_fract_y
_atom_site_fract_z
Ce1 Ce 0.0000 0.0000 0.1256
Mn1 Mn 0.0000 0.0000 0.5000
Re1 Re 0.0000 0.5000 0.0000
```